Entry 1:
First-principles (PBE) data for a relaxed Cs2AlTlBr6 crystal, as listed in Alexandria via LeMat-Bulk.

```
data_Cs2AlTlBr6
_chemical_formula_sum 'Cs8 Al4 Tl4 Br24'
_space_group_name_H-M_alt 'F m -3 m'
_space_group_IT_number 225
_space_group_name_Hall '-F 4 2 3'
_cell_length_a 11.436
_cell_length_b 11.436
_cell_length_c 11.436
_cell_angle_alpha 90.00
_cell_angle_beta 90.00
_cell_angle_gamma 90.00
loop_
_atom_site_label
_atom_site_type_symbol
_atom_site_fract_x
_atom_site_fract_y
_atom_site_fract_z
Cs1 Cs 0.250 0.250 0.250
Al1 Al 0.000 0.000 0.000
Tl1 Tl 0.000 0.000 0.500
Br1 Br 0.000 0.000 0.222
```

As for the electronic total energy: -124.97 eV per cell. The calculation puts the formation energy (no corrections) at -1.339 eV/atom.



Entry 2:
First-principles (PBE) data for a relaxed RbSbMoRh2 crystal, as listed in Alexandria via LeMat-Bulk.

```
data_RbSbMoRh2
_chemical_formula_sum 'Rb1 Sb1 Mo1 Rh2'
_space_group_name_H-M_alt 'P 4/m m m'
_space_group_IT_number 123
_space_group_name_Hall '-P 4 2'
_cell_length_a 4.900
_cell_length_b 4.900
_cell_length_c 5.266
_cell_angle_alpha 90.00
_cell_angle_beta 90.00
_cell_angle_gamma 90.00
loop_
_atom_site_label
_atom_site_type_symbol
_atom_site_fract_x
_atom_site_fract_y
_atom_site_fract_z
Rb1 Rb 0.000 0.000 0.000
Sb1 Sb 0.500 0.500 0.000
Mo1 Mo 0.500 0.500 0.500
Rh1 Rh 0.000 0.500 0.500
```

As for the electronic total energy: -26.97 eV per cell. The calculation puts the formation energy (no corrections) at 0.730 eV/atom.



Entry 3:
First-principles (PBE) data for a relaxed Pm2MgZn6 crystal, as listed in Alexandria via LeMat-Bulk.

```
data_Pm2MgZn6
_chemical_formula_sum 'Pm2 Mg1 Zn6'
_space_group_name_H-M_alt 'P -3 m 1'
_space_group_IT_number 164
_space_group_name_Hall '-P 3 2"'
_cell_length_a 5.8773
_cell_length_b 5.8773
_cell_length_c 5.9893
_cell_angle_alpha 90.00
_cell_angle_beta 90.00
_cell_angle_gamma 120.00
loop_
_atom_site_label
_atom_site_type_symbol
_atom_site_fract_x
_atom_site_fract_y
_atom_site_fract_z
Pm1 Pm 0.3333 0.6667 0.3501
Mg1 Mg 0.0000 0.0000 0.5000
Zn1 Zn 0.1800 0.3599 0.8453
```

As for the electronic total energy: -21.21 eV per cell. The energy of formation comes out at -0.274 eV/atom.



Entry 4:
First-principles (PBE) data for a relaxed NaSr2Mg2 crystal, as listed in Alexandria via LeMat-Bulk.

```
data_NaSr2Mg2
_chemical_formula_sum 'Na2 Sr4 Mg4'
_space_group_name_H-M_alt 'P 4/m b m'
_space_group_IT_number 127
_space_group_name_Hall '-P 4 2ab'
_cell_length_a 10.052
_cell_length_b 10.052
_cell_length_c 3.977
_cell_angle_alpha 90.00
_cell_angle_beta 90.00
_cell_angle_gamma 90.00
loop_
_atom_site_label
_atom_site_type_symbol
_atom_site_fract_x
_atom_site_fract_y
_atom_site_fract_z
Na1 Na 0.000 0.000 0.000
Sr1 Sr 0.142 0.358 0.000
Mg1 Mg 0.151 0.651 0.500
```

As for the electronic total energy: -14.57 eV per cell. As for the excess energy over the best structure of this formula in the dataset: 99.2 meV/atom. The energy of formation comes out at 0.117 eV/atom.



Entry 5:
First-principles (PBE) data for a relaxed CoSi3Br crystal, as listed in Alexandria via LeMat-Bulk.

```
data_CoSi3Br
_chemical_formula_sum 'Co1 Si3 Br1'
_space_group_name_H-M_alt 'P m -3 m'
_space_group_IT_number 221
_space_group_name_Hall '-P 4 2 3'
_cell_length_a 4.447
_cell_length_b 4.447
_cell_length_c 4.447
_cell_angle_alpha 90.00
_cell_angle_beta 90.00
_cell_angle_gamma 90.00
loop_
_atom_site_label
_atom_site_type_symbol
_atom_site_fract_x
_atom_site_fract_y
_atom_site_fract_z
Co1 Co 0.000 0.000 0.000
Si1 Si 0.000 0.000 0.500
Br1 Br 0.500 0.500 0.500
```

As for the electronic total energy: -23.95 eV per cell. As for the excess energy over the best structure of this formula in the dataset: 0.0 meV/atom. The calculation puts the formation energy (no corrections) at 0.219 eV/atom.



Entry 6:
First-principles (PBE) data for a relaxed Ta2MoPt crystal, as listed in Alexandria via LeMat-Bulk.

```
data_Ta2MoPt
_chemical_formula_sum 'Ta8 Mo4 Pt4'
_space_group_name_H-M_alt 'F -4 3 m'
_space_group_IT_number 216
_space_group_name_Hall 'F -4 2 3'
_cell_length_a 6.461
_cell_length_b 6.461
_cell_length_c 6.461
_cell_angle_alpha 90.00
_cell_angle_beta 90.00
_cell_angle_gamma 90.00
loop_
_atom_site_label
_atom_site_type_symbol
_atom_site_fract_x
_atom_site_fract_y
_atom_site_fract_z
Ta1 Ta 0.000 0.000 0.000
Ta2 Ta 0.250 0.250 0.250
Mo1 Mo 0.000 0.000 0.500
Pt1 Pt 0.250 0.250 0.750
```

As for the electronic total energy: -163.77 eV per cell. The energy of formation comes out at -0.091 eV/atom.



Copy entry 5 word for word.
First-principles (PBE) data for a relaxed CoSi3Br crystal, as listed in Alexandria via LeMat-Bulk.

```
data_CoSi3Br
_chemical_formula_sum 'Co1 Si3 Br1'
_space_group_name_H-M_alt 'P m -3 m'
_space_group_IT_number 221
_space_group_name_Hall '-P 4 2 3'
_cell_length_a 4.447
_cell_length_b 4.447
_cell_length_c 4.447
_cell_angle_alpha 90.00
_cell_angle_beta 90.00
_cell_angle_gamma 90.00
loop_
_atom_site_label
_atom_site_type_symbol
_atom_site_fract_x
_atom_site_fract_y
_atom_site_fract_z
Co1 Co 0.000 0.000 0.000
Si1 Si 0.000 0.000 0.500
Br1 Br 0.500 0.500 0.500
```

As for the electronic total energy: -23.95 eV per cell. As for the excess energy over the best structure of this formula in the dataset: 0.0 meV/atom. The calculation puts the formation energy (no corrections) at 0.219 eV/atom.